[1]
# CrSb2SI SCAN single point on PBEsol structure
# size of the total moment: 1.378 μB per formula unit
# final energy: -136.26 eV/cell
# ρ: 6.24 Mg/m³
data_CrSb2SI
_chemical_formula_sum 'Cr1 Sb2 S1 I1'
_symmetry_space_group_name_H-M 'P 4/m m m'
_symmetry_Int_Tables_number 123
_symmetry_space_group_name_Hall '-P 4 2'
_cell_length_a 4.9798
_cell_length_b 4.9798
_cell_length_c 4.8767
_cell_angle_alpha 90.00
_cell_angle_beta 90.00
_cell_angle_gamma 90.00
loop_
_atom_site_label
_atom_site_type_symbol
_atom_site_fract_x
_atom_site_fract_y
_atom_site_fract_z
Cr1 Cr 0.0000 0.0000 0.0000
Sb1 Sb 0.0000 0.5000 0.0000
S1 S 0.5000 0.5000 0.5000
I1 I 0.0000 0.0000 0.5000

[2]
# ZnOs3 SCAN single point on PBEsol structure
# size of the total moment: 0.000 μB per formula unit
# formation energy: 0.419 eV/atom
# ρ: 19.20 Mg/m³
data_ZnOs3
_chemical_formula_sum 'Zn2 Os6'
_symmetry_space_group_name_H-M 'I m m m'
_symmetry_Int_Tables_number 71
_symmetry_space_group_name_Hall '-I 2 2'
_cell_length_a 2.8779
_cell_length_b 4.4051
_cell_length_c 8.6796
_cell_angle_alpha 90.00
_cell_angle_beta 90.00
_cell_angle_gamma 90.00
loop_
_atom_site_label
_atom_site_type_symbol
_atom_site_fract_x
_atom_site_fract_y
_atom_site_fract_z
Zn1 Zn 0.0000 0.0000 0.0000
Os1 Os 0.0000 0.0000 0.5000
Os2 Os 0.0000 0.5000 0.2631